Computed, not measured: a relaxed Ba2YSi crystal at the PBE level of DFT.

abc: 3.993 3.993 9.873
angles: 90.00 90.00 90.00
Site moments in Bohr magnetons follow the coordinates.
Atoms (fractional coordinates):
Ba (0.000, 0.000, 0.946)  0.14
Ba (0.500, 0.500, 0.328)  0.04
Si (0.000, 0.000, 0.570)  0.00
Y (0.500, 0.500, 0.656)  0.18

Computed properties:
Space-group type ... P4mm
ΔE_f (raw) ... -0.15 eV/atom
Total magnetic moment ... 1.05 μB/f.u.


Computed, not measured: a relaxed U2AuN crystal at the PBE level of DFT.

abc: 3.123 3.123 8.530
angles: 79.45 79.45 60.00
Site moments in Bohr magnetons follow the coordinates.
Atoms (fractional coordinates):
Au (0.500, 0.500, 0.500)  -0.01
U (0.728, 0.728, 0.816)  1.24
U (0.272, 0.272, 0.184)  1.24
N (0.000, 0.000, 0.000)  -0.05

Computed properties:
Space-group type ... R-3m
ΔE_f (raw) ... -0.57 eV/atom
Total magnetic moment ... 2.57 μB/f.u.


Computed, not measured: a relaxed RbTl5Bi2 crystal at the PBE level of DFT.

abc: 4.673 8.556 8.556
angles: 68.42 74.15 74.15
Atoms (fractional coordinates):
Rb (0.000, 0.000, 0.000)
Tl (0.000, 0.500, 0.500)
Tl (0.643, 0.544, 0.169)
Tl (0.357, 0.456, 0.831)
Tl (0.357, 0.831, 0.456)
Tl (0.643, 0.169, 0.544)
Bi (0.740, 0.760, 0.760)
Bi (0.260, 0.240, 0.240)

Computed properties:
Energy of formation ... -0.08 eV per atom
Space-group type ... Immm
Total magnetic moment ... 0.00 μB/f.u.


Computed, not measured: a relaxed V5GaC crystal at the PBE level of DFT.

abc: 5.038 5.038 7.224
angles: 97.35 97.35 94.16
Atoms (fractional coordinates):
V (0.829, 0.639, 0.025)
V (0.106, 0.641, 0.370)
V (0.639, 0.829, 0.525)
V (0.889, 0.111, 0.250)
V (0.359, 0.894, 0.130)
V (0.641, 0.106, 0.870)
V (0.111, 0.889, 0.750)
V (0.361, 0.171, 0.475)
V (0.894, 0.359, 0.630)
V (0.171, 0.361, 0.975)
Ga (0.550, 0.450, 0.250)
Ga (0.450, 0.550, 0.750)
C (0.000, 0.000, 0.000)
C (0.000, 0.000, 0.500)

Computed properties:
Energy of formation ... -0.19 eV per atom
Space-group type ... C2/c
Total magnetic moment ... 0.00 μB/f.u.


Computed, not measured: a relaxed CsPuSbI6 crystal at the PBE level of DFT.

abc: 8.262 8.274 8.167
angles: 90.02 90.06 60.12
Site moments in Bohr magnetons follow the coordinates.
Atoms (fractional coordinates):
Cs (0.000, 0.000, 0.000)  0.00
Pu (0.666, 0.668, 0.500)  5.57
Sb (0.334, 0.331, 0.500)  0.15
I (0.004, 0.388, 0.277)  -0.01
I (0.393, 0.005, 0.727)  -0.01
I (0.609, 0.386, 0.722)  -0.01
I (0.008, 0.607, 0.722)  -0.01
I (0.384, 0.609, 0.279)  -0.01
I (0.601, 0.007, 0.273)  -0.01

Computed properties:
Space-group type ... P1
ΔE_f (raw) ... -0.85 eV/atom
Total magnetic moment ... 6.04 μB/f.u.


Computed, not measured: a relaxed BeTeAsN2 crystal at the PBE level of DFT.

abc: 3.646 3.646 7.216
angles: 90.00 90.00 90.00
Site moments in Bohr magnetons follow the coordinates.
Atoms (fractional coordinates):
Be (0.500, 0.500, 0.500)  0.00
As (0.000, 0.000, 0.000)  0.01
Te (0.000, 0.000, 0.500)  0.00
N (0.000, 0.500, 0.000)  0.26
N (0.500, 0.000, 0.000)  0.26

Computed properties:
Excess energy over the best structure of this formula in the dataset ... 0.00 eV per formula unit
Space-group type ... P4/mmm
ΔE_f (raw) ... 1.29 eV/atom
Total magnetic moment ... 0.71 μB/f.u.